The following is a DFT calculation (PBE-GGA) of PmFeSi2Os after structural relaxation.

Geometry as CIF:
```
data_PmFeSi2Os
_chemical_formula_sum 'Pm2 Fe2 Si4 Os2'
_cell_length_a 4.0743
_cell_length_b 4.0743
_cell_length_c 9.9658
_cell_angle_alpha 90.00
_cell_angle_beta 90.00
_cell_angle_gamma 90.00
_space_group_name_H-M_alt 'I -4 m 2'
_space_group_IT_number 119
_space_group_name_Hall 'I -4 -2'
loop_
_atom_site_label
_atom_site_type_symbol
_atom_site_fract_x
_atom_site_fract_y
_atom_site_fract_z
Pm1 Pm 0.0000 0.0000 0.0000
Fe1 Fe 0.0000 0.5000 0.2500
Si1 Si 0.0000 0.0000 0.3698
Os1 Os 0.0000 0.5000 0.7500
```

- Crystal system: tetragonal
- V: 16.54 Å³/atom
- E_form (uncorrected): -663 meV per atom

***

The following is a DFT calculation (PBE-GGA) of Pr2FeOs after structural relaxation.

Geometry as CIF:
```
data_Pr2FeOs
_chemical_formula_sum 'Pr6 Fe3 Os3'
_cell_length_a 4.1590
_cell_length_b 4.1590
_cell_length_c 21.5826
_cell_angle_alpha 90.00
_cell_angle_beta 90.00
_cell_angle_gamma 120.00
_space_group_name_H-M_alt 'R 3 m'
_space_group_IT_number 160
_space_group_name_Hall 'R 3 -2"'
loop_
_atom_site_label
_atom_site_type_symbol
_atom_site_fract_x
_atom_site_fract_y
_atom_site_fract_z
Pr1 Pr 0.0000 0.0000 0.0000
Pr2 Pr 0.0000 0.0000 0.1785
Fe1 Fe 0.0000 0.0000 0.4204
Os1 Os 0.0000 0.0000 0.7577
```

- Crystal system: trigonal
- V: 26.94 Å³/atom
- Formation energy: -0.0035 eV/atom

***

The following is a DFT calculation (PBE-GGA) of PrFeSi3Os after structural relaxation.

Geometry as CIF:
```
data_PrFeSi3Os
_chemical_formula_sum 'Pr4 Fe4 Si12 Os4'
_cell_length_a 7.3105
_cell_length_b 10.8601
_cell_length_c 5.5369
_cell_angle_alpha 90.00
_cell_angle_beta 90.00
_cell_angle_gamma 90.00
_space_group_name_H-M_alt 'C m c m'
_space_group_IT_number 63
_space_group_name_Hall '-C 2c 2'
loop_
_atom_site_label
_atom_site_type_symbol
_atom_site_fract_x
_atom_site_fract_y
_atom_site_fract_z
Pr1 Pr 0.0000 0.2459 0.2500
Fe1 Fe 0.0000 0.0464 0.7500
Si1 Si 0.0000 0.2386 0.7500
Si2 Si 0.2395 0.0000 0.0000
Os1 Os 0.0000 0.4445 0.7500
```

- Crystal system: orthorhombic
- V: 18.32 Å³/atom
- E_form (uncorrected): -350 meV per atom

***

The following is a DFT calculation (PBE-GGA) of PrTaFeOs2 after structural relaxation.

Geometry as CIF:
```
data_PrTaFeOs2
_chemical_formula_sum 'Pr2 Ta2 Fe2 Os4'
_cell_length_a 4.2300
_cell_length_b 4.2300
_cell_length_c 10.9365
_cell_angle_alpha 90.00
_cell_angle_beta 90.00
_cell_angle_gamma 90.00
_space_group_name_H-M_alt 'I -4 m 2'
_space_group_IT_number 119
_space_group_name_Hall 'I -4 -2'
loop_
_atom_site_label
_atom_site_type_symbol
_atom_site_fract_x
_atom_site_fract_y
_atom_site_fract_z
Pr1 Pr 0.0000 0.0000 0.0000
Ta1 Ta 0.0000 0.5000 0.7500
Fe1 Fe 0.0000 0.5000 0.2500
Os1 Os 0.0000 0.0000 0.3835
```

- Crystal system: tetragonal
- V: 19.57 Å³/atom
- Formation energy: 0.0136 eV/atom

***

The following is a DFT calculation (PBE-GGA) of FeOsPt after structural relaxation.

Geometry as CIF:
```
data_FeOsPt
_chemical_formula_sum 'Fe4 Os4 Pt4'
_cell_length_a 5.7018
_cell_length_b 5.7018
_cell_length_c 5.7018
_cell_angle_alpha 90.00
_cell_angle_beta 90.00
_cell_angle_gamma 90.00
_space_group_name_H-M_alt 'F -4 3 m'
_space_group_IT_number 216
_space_group_name_Hall 'F -4 2 3'
loop_
_atom_site_label
_atom_site_type_symbol
_atom_site_fract_x
_atom_site_fract_y
_atom_site_fract_z
Fe1 Fe 0.0000 0.0000 0.0000
Os1 Os 0.2500 0.2500 0.2500
Pt1 Pt 0.2500 0.2500 0.7500
```

- Distance to the lowest polymorph of the same formula: 386.5 meV per atom
- Crystal system: cubic
- V: 15.45 Å³/atom
- Formation energy: 0.4227 eV/atom

***

The following is a DFT calculation (PBE-GGA) of FeOsPt after structural relaxation.

Geometry as CIF:
```
data_FeOsPt
_chemical_formula_sum 'Fe4 Os4 Pt4'
_cell_length_a 11.8054
_cell_length_b 2.7182
_cell_length_c 5.4240
_cell_angle_alpha 90.00
_cell_angle_beta 103.15
_cell_angle_gamma 90.00
_space_group_name_H-M_alt 'C 1 m 1'
_space_group_IT_number 8
loop_
_space_group_symop_operation_xyz
'x,y,z'
'x,-y,z'
'x+1/2,y+1/2,z'
'x+1/2,-y+1/2,z'
loop_
_atom_site_label
_atom_site_type_symbol
_atom_site_fract_x
_atom_site_fract_y
_atom_site_fract_z
Fe1 Fe 0.0000 0.0000 0.0000
Fe2 Fe 0.1660 0.5000 0.3311
Os1 Os 0.3389 0.0000 0.6637
Os2 Os 0.4961 0.5000 0.4959
Pt1 Pt 0.1602 0.5000 0.8231
Pt2 Pt 0.3349 0.0000 0.1599
```

- Distance to the lowest polymorph of the same formula: 26.7 meV per atom
- Crystal system: monoclinic
- V: 14.12 Å³/atom
- Formation energy: 0.0630 eV/atom

***

The following is a DFT calculation (PBE-GGA) of FeOsPt after structural relaxation.

Geometry as CIF:
```
data_FeOsPt
_chemical_formula_sum 'Fe2 Os2 Pt2'
_cell_length_a 2.6966
_cell_length_b 3.7911
_cell_length_c 8.1169
_cell_angle_alpha 90.00
_cell_angle_beta 90.00
_cell_angle_gamma 90.00
_space_group_name_H-M_alt 'I m m 2'
_space_group_IT_number 44
loop_
_space_group_symop_operation_xyz
'x,y,z'
'-x,-y,z'
'-x,y,z'
'x,-y,z'
'x+1/2,y+1/2,z+1/2'
'-x+1/2,-y+1/2,z+1/2'
'-x+1/2,y+1/2,z+1/2'
'x+1/2,-y+1/2,z+1/2'
loop_
_atom_site_label
_atom_site_type_symbol
_atom_site_fract_x
_atom_site_fract_y
_atom_site_fract_z
Fe1 Fe 0.0000 0.0000 0.0000
Os1 Os 0.0000 0.0000 0.6507
Pt1 Pt 0.0000 0.0000 0.3260
```

- Distance to the lowest polymorph of the same formula: 49.5 meV per atom
- Crystal system: orthorhombic
- V: 13.83 Å³/atom
- Formation energy: 0.0858 eV/atom

***

The following is a DFT calculation (PBE-GGA) of FeOs3Pt after structural relaxation.

Geometry as CIF:
```
data_FeOs3Pt
_chemical_formula_sum 'Fe1 Os3 Pt1'
_cell_length_a 4.3646
_cell_length_b 4.3646
_cell_length_c 4.3646
_cell_angle_alpha 90.00
_cell_angle_beta 90.00
_cell_angle_gamma 90.00
_space_group_name_H-M_alt 'P m -3 m'
_space_group_IT_number 221
_space_group_name_Hall '-P 4 2 3'
loop_
_atom_site_label
_atom_site_type_symbol
_atom_site_fract_x
_atom_site_fract_y
_atom_site_fract_z
Fe1 Fe 0.0000 0.0000 0.0000
Os1 Os 0.0000 0.0000 0.5000
Pt1 Pt 0.5000 0.5000 0.5000
```

- Distance to the lowest polymorph of the same formula: 0.0 meV per atom
- Crystal system: cubic
- V: 16.63 Å³/atom
- Formation energy: 1.7365 eV/atom

***

The following is a DFT calculation (PBE-GGA) of FeOs2Pt after structural relaxation.

Geometry as CIF:
```
data_FeOs2Pt
_chemical_formula_sum 'Fe2 Os4 Pt2'
_cell_length_a 8.9548
_cell_length_b 2.7083
_cell_length_c 4.7180
_cell_angle_alpha 90.00
_cell_angle_beta 100.64
_cell_angle_gamma 90.00
_space_group_name_H-M_alt 'C 1 2/m 1'
_space_group_IT_number 12
loop_
_space_group_symop_operation_xyz
'x,y,z'
'-x,-y,-z'
'-x,y,-z'
'x,-y,z'
'x+1/2,y+1/2,z'
'-x+1/2,-y+1/2,-z'
'-x+1/2,y+1/2,-z'
'x+1/2,-y+1/2,z'
loop_
_atom_site_label
_atom_site_type_symbol
_atom_site_fract_x
_atom_site_fract_y
_atom_site_fract_z
Fe1 Fe 0.0000 0.0000 0.0000
Os1 Os 0.2444 0.5000 0.2365
Pt1 Pt 0.0000 0.5000 0.5000
```

- Crystal system: monoclinic
- V: 14.06 Å³/atom
- Formation energy: 0.1121 eV/atom

***

The following is a DFT calculation (PBE-GGA) of FeOs2Pt after structural relaxation.

Geometry as CIF:
```
data_FeOs2Pt
_chemical_formula_sum 'Fe2 Os4 Pt2'
_cell_length_a 2.7319
_cell_length_b 4.6149
_cell_length_c 9.1910
_cell_angle_alpha 90.00
_cell_angle_beta 90.00
_cell_angle_gamma 90.00
_space_group_name_H-M_alt 'C m m m'
_space_group_IT_number 65
_space_group_name_Hall '-C 2 2'
loop_
_atom_site_label
_atom_site_type_symbol
_atom_site_fract_x
_atom_site_fract_y
_atom_site_fract_z
Fe1 Fe 0.0000 0.0000 0.0000
Os1 Os 0.0000 0.5000 0.2337
Pt1 Pt 0.0000 0.0000 0.5000
```

- Crystal system: orthorhombic
- V: 14.48 Å³/atom
- Formation energy: 0.3859 eV/atom

***

The following is a DFT calculation (PBE-GGA) of FeOs2Pt after structural relaxation.

Geometry as CIF:
```
data_FeOs2Pt
_chemical_formula_sum 'Fe2 Os4 Pt2'
_cell_length_a 2.7400
_cell_length_b 4.3951
_cell_length_c 9.5690
_cell_angle_alpha 90.00
_cell_angle_beta 90.00
_cell_angle_gamma 90.00
_space_group_name_H-M_alt 'I m m m'
_space_group_IT_number 71
_space_group_name_Hall '-I 2 2'
loop_
_atom_site_label
_atom_site_type_symbol
_atom_site_fract_x
_atom_site_fract_y
_atom_site_fract_z
Fe1 Fe 0.0000 0.0000 0.0000
Os1 Os 0.0000 0.5000 0.2826
Pt1 Pt 0.0000 0.0000 0.5000
```

- Crystal system: orthorhombic
- V: 14.40 Å³/atom
- Formation energy: 0.2651 eV/atom

***

The following is a DFT calculation (PBE-GGA) of FeOs2Pt after structural relaxation.

Geometry as CIF:
```
data_FeOs2Pt
_chemical_formula_sum 'Fe1 Os2 Pt1'
_cell_length_a 2.7003
_cell_length_b 3.8073
_cell_length_c 5.4365
_cell_angle_alpha 90.00
_cell_angle_beta 90.00
_cell_angle_gamma 90.00
_space_group_name_H-M_alt 'P m m m'
_space_group_IT_number 47
loop_
_space_group_symop_operation_xyz
'x,y,z'
'-x,-y,-z'
'-x,-y,z'
'x,y,-z'
'x,-y,-z'
'-x,y,z'
'-x,y,-z'
'x,-y,z'
loop_
_atom_site_label
_atom_site_type_symbol
_atom_site_fract_x
_atom_site_fract_y
_atom_site_fract_z
Fe1 Fe 0.0000 0.0000 0.0000
Os1 Os 0.5000 0.5000 0.2290
Pt1 Pt 0.0000 0.0000 0.5000
```

- Crystal system: orthorhombic
- V: 13.97 Å³/atom
- Formation energy: 0.1729 eV/atom

***

The following is a DFT calculation (PBE-GGA) of FeOs2Pt after structural relaxation.

Geometry as CIF:
```
data_FeOs2Pt
_chemical_formula_sum 'Fe2 Os4 Pt2'
_cell_length_a 3.8163
_cell_length_b 3.8163
_cell_length_c 7.6897
_cell_angle_alpha 90.00
_cell_angle_beta 90.00
_cell_angle_gamma 90.00
_space_group_name_H-M_alt 'I 4/m m m'
_space_group_IT_number 139
_space_group_name_Hall '-I 4 2'
loop_
_atom_site_label
_atom_site_type_symbol
_atom_site_fract_x
_atom_site_fract_y
_atom_site_fract_z
Fe1 Fe 0.0000 0.0000 0.0000
Os1 Os 0.0000 0.5000 0.2500
Pt1 Pt 0.0000 0.0000 0.5000
```

- Crystal system: tetragonal
- V: 14.00 Å³/atom
- Formation energy: 0.1630 eV/atom

***

The following is a DFT calculation (PBE-GGA) of FeOs2Pt after structural relaxation.

Geometry as CIF:
```
data_FeOs2Pt
_chemical_formula_sum 'Fe1 Os2 Pt1'
_cell_length_a 2.7396
_cell_length_b 3.8015
_cell_length_c 5.4549
_cell_angle_alpha 90.00
_cell_angle_beta 90.00
_cell_angle_gamma 90.00
_space_group_name_H-M_alt 'P m m 2'
_space_group_IT_number 25
loop_
_space_group_symop_operation_xyz
'x,y,z'
'-x,-y,z'
'-x,y,z'
'x,-y,z'
loop_
_atom_site_label
_atom_site_type_symbol
_atom_site_fract_x
_atom_site_fract_y
_atom_site_fract_z
Fe1 Fe 0.0000 0.0000 0.0000
Os1 Os 0.0000 0.0000 0.5292
Os2 Os 0.5000 0.5000 0.7482
Pt1 Pt 0.5000 0.5000 0.2451
```

- Crystal system: orthorhombic
- V: 14.20 Å³/atom
- Formation energy: 0.0434 eV/atom

***

The following is a DFT calculation (PBE-GGA) of FeOsPt after structural relaxation.

Geometry as CIF:
```
data_FeOsPt
_chemical_formula_sum 'Fe1 Os1 Pt1'
_cell_length_a 2.7231
_cell_length_b 2.7231
_cell_length_c 6.5401
_cell_angle_alpha 90.00
_cell_angle_beta 90.00
_cell_angle_gamma 120.00
_space_group_name_H-M_alt 'P 3 m 1'
_space_group_IT_number 156
loop_
_space_group_symop_operation_xyz
'x,y,z'
'-y,x-y,z'
'-x+y,-x,z'
'-y,-x,z'
'-x+y,y,z'
'x,x-y,z'
loop_
_atom_site_label
_atom_site_type_symbol
_atom_site_fract_x
_atom_site_fract_y
_atom_site_fract_z
Fe1 Fe 0.0000 0.0000 0.0000
Os1 Os 0.6667 0.3333 0.3078
Pt1 Pt 0.3333 0.6667 0.6682
```

- Distance to the lowest polymorph of the same formula: 28.5 meV per atom
- Crystal system: trigonal
- V: 14.00 Å³/atom
- Formation energy: 0.0648 eV/atom

***

The following is a DFT calculation (PBE-GGA) of Fe2Os2Pt after structural relaxation.

Geometry as CIF:
```
data_Fe2Os2Pt
_chemical_formula_sum 'Fe4 Os4 Pt2'
_cell_length_a 7.1727
_cell_length_b 7.1727
_cell_length_c 2.6676
_cell_angle_alpha 90.00
_cell_angle_beta 90.00
_cell_angle_gamma 90.00
_space_group_name_H-M_alt 'P 4/m b m'
_space_group_IT_number 127
_space_group_name_Hall '-P 4 2ab'
loop_
_atom_site_label
_atom_site_type_symbol
_atom_site_fract_x
_atom_site_fract_y
_atom_site_fract_z
Fe1 Fe 0.1660 0.3340 0.0000
Os1 Os 0.1269 0.6269 0.5000
Pt1 Pt 0.0000 0.0000 0.5000
```

- Distance to the lowest polymorph of the same formula: 56.3 meV per atom
- Crystal system: tetragonal
- V: 13.72 Å³/atom
- Formation energy: 0.2761 eV/atom

***

The following is a DFT calculation (PBE-GGA) of FeOs2Pt after structural relaxation.

Geometry as CIF:
```
data_FeOs2Pt
_chemical_formula_sum 'Fe2 Os4 Pt2'
_cell_length_a 8.9944
_cell_length_b 2.7162
_cell_length_c 4.6979
_cell_angle_alpha 90.00
_cell_angle_beta 100.03
_cell_angle_gamma 90.00
_space_group_name_H-M_alt 'C 1 m 1'
_space_group_IT_number 8
loop_
_space_group_symop_operation_xyz
'x,y,z'
'x,-y,z'
'x+1/2,y+1/2,z'
'x+1/2,-y+1/2,z'
loop_
_atom_site_label
_atom_site_type_symbol
_atom_site_fract_x
_atom_site_fract_y
_atom_site_fract_z
Fe1 Fe 0.0000 0.0000 0.0000
Os1 Os 0.0061 0.5000 0.5282
Os2 Os 0.2520 0.0000 0.7411
Pt1 Pt 0.2509 0.5000 0.2388
```

- Crystal system: monoclinic
- V: 14.13 Å³/atom
- Formation energy: 0.1006 eV/atom

***

The following is a DFT calculation (PBE-GGA) of FeOs2Pt after structural relaxation.

Geometry as CIF:
```
data_FeOs2Pt
_chemical_formula_sum 'Fe2 Os4 Pt2'
_cell_length_a 5.3932
_cell_length_b 7.7112
_cell_length_c 2.7021
_cell_angle_alpha 90.00
_cell_angle_beta 90.00
_cell_angle_gamma 90.00
_space_group_name_H-M_alt 'C m m m'
_space_group_IT_number 65
_space_group_name_Hall '-C 2 2'
loop_
_atom_site_label
_atom_site_type_symbol
_atom_site_fract_x
_atom_site_fract_y
_atom_site_fract_z
Fe1 Fe 0.0000 0.0000 0.0000
Os1 Os 0.2500 0.2500 0.5000
Pt1 Pt 0.0000 0.5000 0.0000
```

- Crystal system: orthorhombic
- V: 14.05 Å³/atom
- Formation energy: 0.2236 eV/atom

***

The following is a DFT calculation (PBE-GGA) of FeOs2Pt after structural relaxation.

Geometry as CIF:
```
data_FeOs2Pt
_chemical_formula_sum 'Fe3 Os6 Pt3'
_cell_length_a 2.7285
_cell_length_b 2.7285
_cell_length_c 26.4790
_cell_angle_alpha 90.00
_cell_angle_beta 90.00
_cell_angle_gamma 120.00
_space_group_name_H-M_alt 'R 3 m'
_space_group_IT_number 160
_space_group_name_Hall 'R 3 -2"'
loop_
_atom_site_label
_atom_site_type_symbol
_atom_site_fract_x
_atom_site_fract_y
_atom_site_fract_z
Fe1 Fe 0.0000 0.0000 0.0000
Os1 Os 0.0000 0.0000 0.4954
Os2 Os 0.0000 0.0000 0.7482
Pt1 Pt 0.0000 0.0000 0.2517
```

- Crystal system: trigonal
- V: 14.23 Å³/atom
- Formation energy: 0.0719 eV/atom

***

The following is a DFT calculation (PBE-GGA) of FeOsPt after structural relaxation.

Geometry as CIF:
```
data_FeOsPt
_chemical_formula_sum 'Fe2 Os2 Pt2'
_cell_length_a 2.7063
_cell_length_b 2.7063
_cell_length_c 11.2699
_cell_angle_alpha 90.00
_cell_angle_beta 90.00
_cell_angle_gamma 90.00
_space_group_name_H-M_alt 'I 4 m m'
_space_group_IT_number 107
_space_group_name_Hall 'I 4 -2'
loop_
_atom_site_label
_atom_site_type_symbol
_atom_site_fract_x
_atom_site_fract_y
_atom_site_fract_z
Fe1 Fe 0.0000 0.0000 0.0000
Os1 Os 0.0000 0.0000 0.3523
Pt1 Pt 0.0000 0.0000 0.6692
```

- Distance to the lowest polymorph of the same formula: 0.0 meV per atom
- Crystal system: tetragonal
- V: 13.76 Å³/atom
- Formation energy: 0.0363 eV/atom